Here is BaCo4O7 after structural relaxation from the Alexandria database. Energies are from PBE with a Hubbard U.

Lattice parameters (Å, degrees): 6.4426 6.4426 10.4684 90.00 90.00 120.00
Positions (direct):
Ba1 0.3333 0.6667 0.0000
Ba2 0.6667 0.3333 0.5000
Co1 0.0000 0.0000 0.4123
Co2 0.0000 0.0000 0.9123
Co3 0.1715 0.3429 0.6601
Co4 0.1715 0.8285 0.6601
Co5 0.3429 0.1715 0.1601
Co6 0.6571 0.8285 0.6601
Co7 0.8285 0.1715 0.1601
Co8 0.8285 0.6571 0.1601
O1 0.0000 0.0000 0.2274
O2 0.0000 0.0000 0.7274
O3 0.0070 0.5035 0.6884
O4 0.1481 0.2962 0.4775
O5 0.1481 0.8519 0.4775
O6 0.2962 0.1481 0.9775
O7 0.4965 0.5035 0.6884
O8 0.4965 0.9930 0.6884
O9 0.5035 0.0070 0.1884
O10 0.5035 0.4965 0.1884
O11 0.7038 0.8519 0.4775
O12 0.8519 0.1481 0.9775
O13 0.8519 0.7038 0.9775
O14 0.9930 0.4965 0.1884

Summary:
* symmetry: P6_3mc (186)
* electronic total energy: -139.21 eV/cell